Entry from Alexandria: a geometry-optimized EuY2Pa structure (GGA-PBE).

a b c (Å): 3.4814 3.4814 10.5344
angles (deg): 90.00 90.00 90.00
Closest atoms and distances in Å follow each position.
Space group P4/mmm (No. 123)
Inequivalent atoms, fractional coordinates:
Eu 0.0000 0.0000 0.0000 (multiplicity 1)  4 Eu 3.48, 8 Y 3.84
Y 0.5000 0.5000 0.2804 (multiplicity 2)  4 Pa 3.38, 4 Y 3.48
Pa 0.0000 0.0000 0.5000 (multiplicity 1)  8 Y 3.38, 4 Pa 3.48

Summary:
Energy above the most stable polymorph in this dataset: 0.0 meV/atom
Total energy: -32.03 eV per cell
Formation enthalpy at 0 K: 0.167 eV per atom

Entry from Alexandria: a geometry-optimized Ca5Pt7 structure (GGA-PBE).

a b c (Å): 4.0901 6.1819 9.5734
angles (deg): 90.00 90.00 90.00
Closest atoms and distances in Å follow each position.
Space group Pmmm (No. 47)
Inequivalent atoms, fractional coordinates:
Ca 0.0000 0.0000 0.0000 (multiplicity 1)  12 Pt 2.93-3.09
Ca 0.0000 0.5000 0.2825 (multiplicity 2)  5 Pt 2.70-2.83
Ca 0.5000 0.2207 0.5000 (multiplicity 2)  1 Ca 2.73
Pt 0.0000 0.0000 0.3063 (multiplicity 2)  4 Pt 2.90, 7 Ca 2.93-3.10
Pt 0.0000 0.5000 0.0000 (multiplicity 1)  2 Ca 2.70, 8 Pt 3.01
Pt 0.5000 0.2445 0.1615 (multiplicity 4)  4 Ca 2.83-2.98, 7 Pt 2.90-3.16

Summary:
Energy above the most stable polymorph in this dataset: 187.2 meV/atom
Total energy: -58.52 eV per cell
Formation enthalpy at 0 K: -0.519 eV per atom

- Among the records above, which one has the highest formation enthalpy at 0 K?
  EuY2Pa

- Number 2 is which compound?
  Ca5Pt7

- Which value of formation enthalpy at 0 K does entry 1 give?
  0.167 eV per atom